[1]
Computed, not measured: a relaxed AcTb4Pm7 crystal at the PBE level of DFT.

Relative energy among the computed polymorphs = 258.1 meV per atom
Total DFT energy (no corrections) = -4.3856 eV per atom
ΔH_f (0 K) = 271 meV/atom

Unit cell a=6.181 b=11.587 c=6.896 alpha=83.11 beta=63.37 gamma=74.53
Sites, in units of the cell vectors:
1 Tb 0.369 0.776 0.486
2 Tb 0.747 0.681 0.826
3 Tb 0.253 0.319 0.174
4 Tb 0.631 0.224 0.514
5 Pm 0.944 0.338 0.774
6 Pm 0.215 0.082 0.488
7 Pm 0.056 0.662 0.226
8 Pm 0.629 0.496 0.245
9 Pm 0.500 0.000 0.000
10 Pm 0.371 0.504 0.755
11 Pm 0.785 0.918 0.512
12 Ac 0.000 0.000 0.000

[2]
Computed, not measured: a relaxed Ac4Tb3Pm2 crystal at the PBE level of DFT.

Total DFT energy (no corrections) = -4.3753 eV per atom
ΔH_f (0 K) = 50 meV/atom

Unit cell a=5.400 b=6.458 c=11.295 alpha=74.66 beta=90.03 gamma=65.31
Sites, in units of the cell vectors:
1 Tb 0.665 0.671 0.551
2 Tb 0.335 0.329 0.449
3 Tb 0.000 0.000 0.000
4 Pm 0.672 0.656 0.228
5 Pm 0.328 0.344 0.772
6 Ac 0.334 0.332 0.111
7 Ac 0.666 0.668 0.889
8 Ac 0.006 0.989 0.334
9 Ac 0.994 0.011 0.666

[3]
Computed, not measured: a relaxed AcTb2Pm6 crystal at the PBE level of DFT.

Relative energy among the computed polymorphs = 0.0 meV per atom
Total DFT energy (no corrections) = -4.6366 eV per atom
ΔH_f (0 K) = 16 meV/atom

Unit cell a=3.707 b=9.124 c=11.703 alpha=125.82 beta=80.90 gamma=89.98
Sites, in units of the cell vectors:
1 Pm 0.074 0.514 0.851
2 Pm 0.331 0.338 0.338
3 Pm 0.258 0.818 0.484
4 Pm 0.669 0.662 0.662
5 Pm 0.926 0.486 0.149
6 Pm 0.742 0.182 0.516
7 Ac 0.000 0.000 0.000
8 Tb 0.407 0.850 0.187
9 Tb 0.593 0.150 0.813